Entry 1:
Compound: Ac2LaPr5Er
Source: Alexandria
Functional: PBE
Structure: optimized geometry

Lattice parameters (Å, degrees): 10.844 10.844 11.049 90.00 90.00 148.36
Positions (direct):
Ac: 0.115 0.885 0.500
Ac: 0.117 0.883 0.085
Ac: 0.883 0.117 0.585
Ac: 0.885 0.115 0.000
La: 0.411 0.589 0.234
La: 0.589 0.411 0.734
Pr: 0.018 0.982 0.790
Pr: 0.281 0.719 0.084
Pr: 0.294 0.706 0.474
Pr: 0.384 0.616 0.788
Pr: 0.485 0.515 0.512
Pr: 0.515 0.485 0.012
Pr: 0.616 0.384 0.288
Pr: 0.706 0.294 0.974
Pr: 0.719 0.281 0.584
Pr: 0.982 0.018 0.290
Er: 0.206 0.794 0.779
Er: 0.794 0.206 0.279

Output
ΔH_f (0 K) ... 0.13 eV/atom
Space-group type ... Cmc2_1
N(E_F) ... 25.6 states/eV per cell
Theoretical density ... 7.14 Mg/m³

***

Entry 2:
Compound: AcLaPr6Er2
Source: Alexandria
Functional: PBE
Structure: optimized geometry

Lattice parameters (Å, degrees): 9.119 9.119 9.975 93.54 93.54 117.34
Positions (direct):
Ac: 0.032 0.968 0.750
Ac: 0.968 0.032 0.250
La: 0.408 0.592 0.250
La: 0.592 0.408 0.750
Pr: 0.016 0.555 0.678
Pr: 0.111 0.752 0.055
Pr: 0.248 0.889 0.445
Pr: 0.295 0.510 0.879
Pr: 0.445 0.984 0.822
Pr: 0.490 0.705 0.621
Pr: 0.510 0.295 0.379
Pr: 0.555 0.016 0.178
Pr: 0.705 0.490 0.121
Pr: 0.752 0.111 0.555
Pr: 0.889 0.248 0.945
Pr: 0.984 0.445 0.322
Er: 0.198 0.304 0.547
Er: 0.304 0.198 0.047
Er: 0.696 0.802 0.953
Er: 0.802 0.696 0.453

Output
ΔH_f (0 K) ... 0.11 eV/atom
Space-group type ... C2/c
N(E_F) ... 28.3 states/eV per cell
Theoretical density ... 7.02 Mg/m³

***

Entry 3:
Compound: AcLa2Pr4Er
Source: Alexandria
Functional: PBE
Structure: optimized geometry

Lattice parameters (Å, degrees): 6.155 6.187 7.692 90.00 90.03 90.00
Positions (direct):
Ac: 0.000 0.000 0.000
La: 0.000 0.000 0.500
La: 0.500 0.500 0.000
Pr: 0.001 0.500 0.734
Pr: 0.499 0.000 0.732
Pr: 0.501 0.000 0.268
Pr: 0.999 0.500 0.266
Er: 0.500 0.500 0.500

Output
ΔH_f (0 K) ... 0.11 eV/atom
Space-group type ... P2/m
N(E_F) ... 17.0 states/eV per cell
Theoretical density ... 7.01 Mg/m³

***

Entry 4:
Compound: AcLaPr2Er5
Source: Alexandria
Functional: PBE
Structure: optimized geometry

Lattice parameters (Å, degrees): 10.097 10.097 10.097 128.21 128.21 76.29
Positions (direct):
Ac: 0.250 0.250 0.000
Ac: 0.750 0.750 0.000
La: 0.250 0.750 0.500
La: 0.750 0.250 0.500
Pr: 0.118 0.618 0.736
Pr: 0.382 0.118 0.500
Pr: 0.618 0.882 0.500
Pr: 0.882 0.382 0.264
Er: 0.000 0.000 0.000
Er: 0.074 0.161 0.500
Er: 0.161 0.661 0.086
Er: 0.339 0.426 0.500
Er: 0.426 0.926 0.086
Er: 0.500 0.500 0.000
Er: 0.574 0.074 0.914
Er: 0.661 0.574 0.500
Er: 0.839 0.339 0.914
Er: 0.926 0.839 0.500

Output
ΔH_f (0 K) ... 0.23 eV/atom
Space-group type ... I4/mcm
N(E_F) ... 18.1 states/eV per cell
Theoretical density ... 7.98 Mg/m³

***

Entry 5:
Compound: AcLa4Pr2Er
Source: Alexandria
Functional: PBE
Structure: optimized geometry

Lattice parameters (Å, degrees): 6.458 6.458 10.614 114.20 114.20 48.27
Positions (direct):
Ac: 0.000 0.000 0.000
La: 0.247 0.247 0.868
La: 0.252 0.252 0.379
La: 0.748 0.748 0.621
La: 0.753 0.753 0.132
Pr: 0.498 0.498 0.256
Pr: 0.502 0.502 0.744
Er: 0.000 0.000 0.500

Output
ΔH_f (0 K) ... 0.02 eV/atom
Space-group type ... C2/m
N(E_F) ... 14.5 states/eV per cell
Theoretical density ... 6.93 Mg/m³

***

Entry 6:
Compound: AcLa5PrEr2
Source: Alexandria
Functional: PBE
Structure: optimized geometry

Lattice parameters (Å, degrees): 9.358 9.358 12.494 90.00 90.00 143.19
Positions (direct):
Ac: 0.116 0.884 0.500
Ac: 0.884 0.116 0.000
La: 0.075 0.925 0.852
La: 0.079 0.921 0.169
La: 0.270 0.730 0.708
La: 0.271 0.729 0.296
La: 0.438 0.562 0.152
La: 0.562 0.438 0.652
La: 0.729 0.271 0.796
La: 0.730 0.270 0.208
La: 0.921 0.079 0.669
La: 0.925 0.075 0.352
Pr: 0.245 0.755 0.002
Pr: 0.755 0.245 0.502
Er: 0.391 0.609 0.504
Er: 0.438 0.562 0.859
Er: 0.562 0.438 0.359
Er: 0.609 0.391 0.004

Output
ΔH_f (0 K) ... 0.07 eV/atom
Space-group type ... Cmc2_1
N(E_F) ... 28.0 states/eV per cell
Theoretical density ... 7.08 Mg/m³

***

Entry 7:
Compound: AcLa6PrEr2
Source: Alexandria
Functional: PBE
Structure: optimized geometry

Lattice parameters (Å, degrees): 9.111 9.111 10.042 93.97 93.97 117.14
Positions (direct):
Ac: 0.029 0.971 0.750
Ac: 0.971 0.029 0.250
La: 0.010 0.553 0.683
La: 0.107 0.752 0.053
La: 0.248 0.893 0.447
La: 0.297 0.510 0.878
La: 0.447 0.990 0.817
La: 0.490 0.703 0.622
La: 0.510 0.297 0.378
La: 0.553 0.010 0.183
La: 0.703 0.490 0.122
La: 0.752 0.107 0.553
La: 0.893 0.248 0.947
La: 0.990 0.447 0.317
Pr: 0.408 0.592 0.250
Pr: 0.592 0.408 0.750
Er: 0.200 0.300 0.547
Er: 0.300 0.200 0.047
Er: 0.700 0.800 0.953
Er: 0.800 0.700 0.453

Output
ΔH_f (0 K) ... 0.10 eV/atom
Space-group type ... C2/c
N(E_F) ... 30.0 states/eV per cell
Theoretical density ... 6.94 Mg/m³

***

Entry 8:
Compound: AcLaPrEr
Source: Alexandria
Functional: PBE
Structure: optimized geometry

Lattice parameters (Å, degrees): 5.968 5.968 5.968 60.00 60.00 60.00
Positions (direct):
Ac: 0.000 0.000 0.000
La: 0.750 0.750 0.750
Pr: 0.250 0.250 0.250
Er: 0.500 0.500 0.500

Output
ΔH_f (0 K) ... 0.16 eV/atom
Space-group type ... F-43m
N(E_F) ... 10.8 states/eV per cell
Theoretical density ... 7.45 Mg/m³

***

Entry 9:
Compound: AcLa2PrEr5
Source: Alexandria
Functional: PBE
Structure: optimized geometry

Lattice parameters (Å, degrees): 10.114 10.114 10.114 128.51 128.51 75.80
Positions (direct):
Ac: 0.250 0.250 0.000
Ac: 0.750 0.750 0.000
La: 0.117 0.617 0.735
La: 0.383 0.117 0.500
La: 0.617 0.883 0.500
La: 0.883 0.383 0.265
Pr: 0.250 0.750 0.500
Pr: 0.750 0.250 0.500
Er: 0.000 0.000 0.000
Er: 0.075 0.154 0.500
Er: 0.154 0.654 0.079
Er: 0.346 0.425 0.500
Er: 0.425 0.925 0.079
Er: 0.500 0.500 0.000
Er: 0.575 0.075 0.921
Er: 0.654 0.575 0.500
Er: 0.846 0.346 0.921
Er: 0.925 0.846 0.500

Output
ΔH_f (0 K) ... 0.24 eV/atom
Space-group type ... I4/mcm
N(E_F) ... 20.6 states/eV per cell
Theoretical density ... 7.99 Mg/m³

***

Entry 10:
Compound: Ac2La4PrEr
Source: Alexandria
Functional: PBE
Structure: optimized geometry

Lattice parameters (Å, degrees): 5.305 5.347 10.696 90.00 90.05 90.00
Positions (direct):
Ac: 0.000 0.000 0.000
Ac: 0.500 0.500 0.500
La: 0.000 0.500 0.252
La: 0.000 0.500 0.748
La: 0.499 0.000 0.747
La: 0.501 0.000 0.253
Pr: 0.500 0.500 0.000
Er: 0.000 0.000 0.500

Output
ΔH_f (0 K) ... 0.03 eV/atom
Space-group type ... P2/m
N(E_F) ... 14.6 states/eV per cell
Theoretical density ... 7.21 Mg/m³

***

Entry 11:
Compound: AcLa2Pr5Er
Source: Alexandria
Functional: PBE
Structure: optimized geometry

Lattice parameters (Å, degrees): 10.312 10.312 10.312 127.74 127.74 77.05
Positions (direct):
Ac: 0.250 0.250 0.000
Ac: 0.750 0.750 0.000
La: 0.117 0.617 0.735
La: 0.383 0.117 0.500
La: 0.617 0.883 0.500
La: 0.883 0.383 0.265
Pr: 0.000 0.000 0.000
Pr: 0.074 0.151 0.500
Pr: 0.151 0.651 0.076
Pr: 0.349 0.426 0.500
Pr: 0.426 0.926 0.076
Pr: 0.500 0.500 0.000
Pr: 0.574 0.074 0.924
Pr: 0.651 0.574 0.500
Pr: 0.849 0.349 0.924
Pr: 0.926 0.849 0.500
Er: 0.250 0.750 0.500
Er: 0.750 0.250 0.500

Output
ΔH_f (0 K) ... 0.24 eV/atom
Space-group type ... I4/mcm
N(E_F) ... 30.0 states/eV per cell
Theoretical density ... 6.87 Mg/m³

***

Entry 12:
Compound: AcLa2Pr2Er
Source: Alexandria
Functional: PBE
Structure: optimized geometry

Lattice parameters (Å, degrees): 5.879 10.214 7.355 90.00 90.00 90.00
Positions (direct):
Ac: 0.000 0.000 0.000
Ac: 0.000 0.000 0.500
La: 0.000 0.334 0.251
La: 0.000 0.666 0.751
La: 0.500 0.499 0.000
La: 0.500 0.501 0.500
Pr: 0.000 0.336 0.750
Pr: 0.000 0.664 0.250
Pr: 0.500 0.170 0.250
Pr: 0.500 0.830 0.750
Er: 0.500 0.167 0.750
Er: 0.500 0.833 0.250

Output
ΔH_f (0 K) ... 0.05 eV/atom
Space-group type ... Pmc2_1
N(E_F) ... 17.9 states/eV per cell
Theoretical density ... 7.17 Mg/m³

***

Entry 13:
Compound: AcLaPr2Er
Source: Alexandria
Functional: PBE
Structure: optimized geometry

Lattice parameters (Å, degrees): 7.450 7.450 7.424 90.00 90.00 109.66
Positions (direct):
Ac: 0.243 0.757 0.750
Ac: 0.757 0.243 0.250
La: 0.489 0.511 0.250
La: 0.511 0.489 0.750
Pr: 0.188 0.188 0.000
Pr: 0.188 0.188 0.500
Pr: 0.812 0.812 0.000
Pr: 0.812 0.812 0.500
Er: 0.212 0.788 0.250
Er: 0.788 0.212 0.750

Output
ΔH_f (0 K) ... 0.34 eV/atom
Space-group type ... Cmcm
N(E_F) ... 17.0 states/eV per cell
Theoretical density ... 6.98 Mg/m³

***

Entry 14:
Compound: Ac2La2PrEr
Source: Alexandria
Functional: PBE
Structure: optimized geometry

Lattice parameters (Å, degrees): 7.322 17.319 3.696 90.00 90.00 90.00
Positions (direct):
Ac: 0.248 0.160 0.000
Ac: 0.252 0.660 0.500
Ac: 0.748 0.340 0.500
Ac: 0.752 0.840 0.000
La: 0.250 0.350 0.500
La: 0.250 0.850 0.000
La: 0.750 0.150 0.000
La: 0.750 0.650 0.500
Pr: 0.000 0.500 0.000
Pr: 0.500 0.000 0.500
Er: 0.000 0.000 0.500
Er: 0.500 0.500 0.000

Output
ΔH_f (0 K) ... 0.14 eV/atom
Space-group type ... Pnnm
N(E_F) ... 18.1 states/eV per cell
Theoretical density ... 7.37 Mg/m³

***

Entry 15:
Compound: AcLaPr5Er2
Source: Alexandria
Functional: PBE
Structure: optimized geometry

Lattice parameters (Å, degrees): 12.460 12.460 9.679 90.00 90.00 153.60
Positions (direct):
Ac: 0.103 0.897 0.500
Ac: 0.897 0.103 0.000
La: 0.270 0.730 0.109
La: 0.730 0.270 0.609
Pr: 0.025 0.975 0.830
Pr: 0.104 0.896 0.111
Pr: 0.186 0.814 0.807
Pr: 0.240 0.760 0.426
Pr: 0.494 0.506 0.612
Pr: 0.506 0.494 0.112
Pr: 0.760 0.240 0.926
Pr: 0.814 0.186 0.307
Pr: 0.896 0.104 0.611
Pr: 0.975 0.025 0.330
Er: 0.328 0.672 0.742
Er: 0.388 0.612 0.374
Er: 0.612 0.388 0.874
Er: 0.672 0.328 0.242

Output
ΔH_f (0 K) ... 0.14 eV/atom
Space-group type ... Cmc2_1
N(E_F) ... 22.0 states/eV per cell
Theoretical density ... 6.98 Mg/m³

***

Entry 16:
Compound: AcLaPr3Er
Source: Alexandria
Functional: PBE
Structure: optimized geometry

Lattice parameters (Å, degrees): 10.923 10.923 7.143 91.47 91.47 31.70
Positions (direct):
Ac: 0.149 0.149 0.030
Ac: 0.851 0.851 0.970
La: 0.445 0.445 0.722
La: 0.555 0.555 0.278
Pr: 0.016 0.016 0.745
Pr: 0.282 0.282 0.726
Pr: 0.338 0.338 0.257
Pr: 0.662 0.662 0.743
Pr: 0.718 0.718 0.274
Pr: 0.984 0.984 0.255
Er: 0.143 0.143 0.490
Er: 0.857 0.857 0.510

Output
ΔH_f (0 K) ... 0.16 eV/atom
Space-group type ... C2/m
N(E_F) ... 17.2 states/eV per cell
Theoretical density ... 7.09 Mg/m³

***

Entry 17:
Compound: Ac2LaPr4Er
Source: Alexandria
Functional: PBE
Structure: optimized geometry

Lattice parameters (Å, degrees): 6.521 3.787 12.449 90.00 100.42 90.00
Positions (direct):
Ac: 0.000 0.000 0.000
Ac: 0.500 0.500 0.000
La: 0.000 0.500 0.500
Pr: 0.248 0.000 0.744
Pr: 0.255 0.500 0.259
Pr: 0.745 0.500 0.741
Pr: 0.752 0.000 0.256
Er: 0.500 0.000 0.500

Output
ΔH_f (0 K) ... 0.04 eV/atom
Space-group type ... P2/m
N(E_F) ... 13.8 states/eV per cell
Theoretical density ... 7.27 Mg/m³

***

Entry 18:
Compound: AcLa2ErS6
Source: Alexandria
Functional: PBE
Structure: optimized geometry

Lattice parameters (Å, degrees): 7.605 7.605 7.605 57.28 57.28 57.28
Positions (direct):
Ac: 0.000 0.000 0.000
La: 0.211 0.211 0.211
La: 0.717 0.717 0.717
Er: 0.510 0.510 0.510
S: 0.132 0.403 0.793
S: 0.331 0.894 0.596
S: 0.403 0.793 0.132
S: 0.596 0.331 0.894
S: 0.793 0.132 0.403
S: 0.894 0.596 0.331

Output
Uncorrected energy ... -6.44 eV per atom
Space-group type ... R3
N(E_F) ... 0.0 states/eV per cell
Theoretical density ... 4.92 Mg/m³

***

Entry 19:
Compound: AcLaEr2S4
Source: Alexandria
Functional: PBE
Structure: optimized geometry

Lattice parameters (Å, degrees): 6.881 3.954 7.265 90.00 108.29 90.00
Positions (direct):
Ac: 0.000 0.000 0.000
La: 0.500 0.500 0.000
Er: 0.000 0.500 0.500
Er: 0.500 0.000 0.500
S: 0.243 0.000 0.721
S: 0.264 0.500 0.282
S: 0.736 0.500 0.718
S: 0.757 0.000 0.279

Output
Uncorrected energy ... -6.35 eV per atom
Space-group type ... P2/m
N(E_F) ... 3.7 states/eV per cell
Theoretical density ... 7.33 Mg/m³